Zr2ScBi2: relaxed, PBE-GGA.

Cell lengths 7.9831, 7.9831, 3.8987 Å; angles 90.00, 90.00, 90.00 degrees
Positions (direct):
Sc 0.0000 0.0000 0.0000
Sc 0.5000 0.5000 0.0000
Bi 0.1501 0.3499 0.0000
Bi 0.3499 0.8499 0.0000
Bi 0.6501 0.1501 0.0000
Bi 0.8499 0.6501 0.0000
Zr 0.8529 0.3529 0.5000
Zr 0.1471 0.6471 0.5000
Zr 0.3529 0.1471 0.5000
Zr 0.6471 0.8529 0.5000

Summary:
Its total energy is -6.594 eV/atom. The calculation puts the formation energy from the elements at -34.4 kJ per mole of atoms. Its symmetry is P4/mbm (127).

***

ZrSc5Bi4: relaxed, PBE-GGA.

Cell lengths 4.5438, 7.1589, 9.1205 Å; angles 107.75, 104.42, 90.00 degrees
Positions (direct):
Sc 0.5000 0.5000 0.0000
Sc 0.7816 0.6905 0.5633
Sc 0.2184 0.3095 0.4367
Sc 0.1397 0.7313 0.2795
Sc 0.8603 0.2687 0.7205
Bi 0.9537 0.7095 0.9075
Bi 0.6715 0.0121 0.3431
Bi 0.3285 0.9879 0.6569
Bi 0.0463 0.2905 0.0925
Zr 0.5000 0.0000 0.0000

Summary:
Its total energy is -5.842 eV/atom. The calculation puts the formation energy from the elements at -25.9 kJ per mole of atoms. Its symmetry is C2/m (12).

***

Zr2ScBi: relaxed, PBE-GGA.

Cell lengths 3.2563, 3.2563, 11.4845 Å; angles 81.85, 81.85, 60.00 degrees
Positions (direct):
Sc 0.5000 0.5000 0.5000
Zr 0.9109 0.9109 0.2674
Zr 0.0891 0.0891 0.7326
Bi 0.0000 0.0000 0.0000

Summary:
Its total energy is -6.609 eV/atom. The calculation puts the formation energy from the elements at 21.0 kJ per mole of atoms. Its symmetry is R-3m (166).